Entry from Alexandria via LeMat-Bulk: TlCuSe2 after structural relaxation (PBEsol).

Its total moment is 0.00 μB/cell. The energy relative to the elements, uncorrected comes out at -0.0862 eV/atom.

Unit cell a=3.6685 b=6.2089 c=8.0754 alpha=90.00 beta=90.00 gamma=90.00
Closest atoms and distances in Å follow each position.
Space group Immm (No. 71)
Symmetry-distinct sites (fractional):
Tl 0.0000 0.0000 0.0000 x2  8 Se 3.17-3.43
Cu 0.0000 0.0000 0.5000 x2  4 Se 2.34
Se 0.0000 0.5000 0.1805 x4  2 Cu 2.34